# 1
! LiEr5Te6 | the Alexandria database | PBE | optimized geometry; values from VASP
&SYSTEM
  ibrav = 0, nat = 12, ntyp = 3
/
ATOMIC_SPECIES
Li 6.94 Li.upf
Er 167.26 Er.upf
Te 127.60 Te.upf
CELL_PARAMETERS angstrom
3.722 -6.443 0.000
3.722 6.443 0.000
-2.489 0.000 7.038
ATOMIC_POSITIONS angstrom
Li 0.000 0.000 0.000
Er 2.477 4.254 3.519
Er 3.722 2.114 0.000
Er 2.477 0.000 3.519
Er 3.722 -2.114 0.000
Er 2.477 -4.254 3.519
Te 1.196 2.087 1.716
Te -0.090 0.000 5.310
Te 1.196 -2.087 1.716
Te 3.758 2.087 5.323
Te 5.044 0.000 1.729
Te 3.758 -2.087 5.323
! Symmetry ... C2/m (12)
! ΔE_f (raw) ... -1254 meV per atom
! DOS(E_F) ... 5.18 states/eV per cell
! Volume ... 28.13 Å³ per atom

---

# 2
! LiEr2Te4 | the Alexandria database | PBE | optimized geometry; values from VASP
&SYSTEM
  ibrav = 0, nat = 7, ntyp = 3
/
ATOMIC_SPECIES
Li 6.94 Li.upf
Er 167.26 Er.upf
Te 127.60 Te.upf
CELL_PARAMETERS angstrom
7.962 -2.120 0.000
7.962 2.120 0.000
-3.393 0.000 6.548
ATOMIC_POSITIONS angstrom
Li 0.000 0.000 0.000
Er 3.171 0.000 1.697
Er 9.360 0.000 4.851
Te 0.381 0.000 2.942
Te 5.859 0.000 0.253
Te 6.673 0.000 6.295
Te 12.150 0.000 3.606
! Symmetry ... C2/m (12)
! ΔE_f (raw) ... -1161 meV per atom
! DOS(E_F) ... 2.94 states/eV per cell
! Volume ... 31.57 Å³ per atom

---

# 3
! LiEr5Te4 | the Alexandria database | PBE | optimized geometry; values from VASP
&SYSTEM
  ibrav = 0, nat = 10, ntyp = 3
/
ATOMIC_SPECIES
Li 6.94 Li.upf
Er 167.26 Er.upf
Te 127.60 Te.upf
CELL_PARAMETERS angstrom
8.953 -2.057 0.000
8.953 2.057 0.000
-1.743 0.000 8.075
ATOMIC_POSITIONS angstrom
Li 0.000 0.000 0.000
Er -0.872 0.000 4.037
Er 4.497 0.000 5.160
Er 5.569 0.000 1.632
Er 10.595 0.000 6.442
Er 11.667 0.000 2.914
Te 2.764 0.000 0.552
Te 7.505 0.000 6.118
Te 8.659 0.000 1.957
Te 13.400 0.000 7.523
! Symmetry ... C2/m (12)
! ΔE_f (raw) ... -864 meV per atom
! DOS(E_F) ... 7.26 states/eV per cell
! Volume ... 29.74 Å³ per atom

---

# 4
! LiEr3Te4 | the Alexandria database | PBE | optimized geometry; values from VASP
&SYSTEM
  ibrav = 0, nat = 8, ntyp = 3
/
ATOMIC_SPECIES
Li 6.94 Li.upf
Er 167.26 Er.upf
Te 127.60 Te.upf
CELL_PARAMETERS angstrom
-3.044 3.044 6.082
3.044 -3.044 6.082
3.044 3.044 -6.082
ATOMIC_POSITIONS angstrom
Li 0.000 0.000 0.000
Er 3.044 0.000 3.041
Er 0.000 0.000 6.082
Er 0.000 3.044 3.041
Te 3.044 0.000 0.000
Te 0.000 0.000 2.963
Te 0.000 3.044 0.000
Te 0.000 0.000 9.200
! Symmetry ... I4/mmm (139)
! ΔE_f (raw) ... -1264 meV per atom
! DOS(E_F) ... 2.39 states/eV per cell
! Excess energy over the best structure of this formula in the dataset ... 0.000 eV/atom
! Volume ... 28.17 Å³ per atom

---

# 5
! LiEr2Te3 | the Alexandria database | PBE | optimized geometry; values from VASP
&SYSTEM
  ibrav = 0, nat = 6, ntyp = 3
/
ATOMIC_SPECIES
Li 6.94 Li.upf
Er 167.26 Er.upf
Te 127.60 Te.upf
CELL_PARAMETERS angstrom
-2.135 3.053 6.460
2.135 -3.053 6.460
2.135 3.053 -6.460
ATOMIC_POSITIONS angstrom
Li 0.000 0.000 0.000
Er 0.000 0.000 4.288
Er 0.000 0.000 8.631
Te 2.135 0.000 2.073
Te 0.000 3.053 0.000
Te 0.000 3.053 4.387
! Symmetry ... Immm (71)
! ΔE_f (raw) ... -1268 meV per atom
! DOS(E_F) ... 1.95 states/eV per cell
! Volume ... 28.06 Å³ per atom

---

# 6
! LiErTe | the Alexandria database | PBE | optimized geometry; values from VASP
&SYSTEM
  ibrav = 0, nat = 3, ntyp = 3
/
ATOMIC_SPECIES
Li 6.94 Li.upf
Er 167.26 Er.upf
Te 127.60 Te.upf
CELL_PARAMETERS angstrom
4.411 0.000 0.000
-2.205 3.820 0.000
0.000 0.000 3.930
ATOMIC_POSITIONS angstrom
Li 0.000 0.000 0.000
Er 2.205 1.273 1.965
Te 0.000 2.547 0.000
! Symmetry ... P-6m2 (187)
! ΔE_f (raw) ... -804 meV per atom
! DOS(E_F) ... 0.33 states/eV per cell
! Volume ... 22.07 Å³ per atom

---

# 7
! LiEr3Te4 | the Alexandria database | PBE | optimized geometry; values from VASP
&SYSTEM
  ibrav = 0, nat = 16, ntyp = 3
/
ATOMIC_SPECIES
Li 6.94 Li.upf
Er 167.26 Er.upf
Te 127.60 Te.upf
CELL_PARAMETERS angstrom
9.726 0.000 0.000
0.000 8.834 0.000
0.000 0.000 6.074
ATOMIC_POSITIONS angstrom
Li 0.000 0.831 0.000
Li 4.863 8.003 3.037
Er 0.000 6.445 3.051
Er 1.956 3.002 3.051
Er 2.907 5.832 0.014
Er 4.863 2.388 0.014
Er 6.819 5.832 0.014
Er 7.770 3.002 3.051
Te 0.000 0.710 3.047
Te 0.000 6.807 0.014
Te 1.922 2.971 0.014
Te 2.941 5.863 3.051
Te 4.863 2.027 3.051
Te 4.863 8.124 0.010
Te 6.785 5.863 3.051
Te 7.804 2.971 0.014
! Symmetry ... Pmn2_1 (31)
! ΔE_f (raw) ... -1112 meV per atom
! DOS(E_F) ... 7.07 states/eV per cell
! Excess energy over the best structure of this formula in the dataset ... 0.152 eV/atom
! Volume ... 32.62 Å³ per atom

---

# 8
! Li3Er4Te8 | the Alexandria database | PBE | optimized geometry; values from VASP
&SYSTEM
  ibrav = 0, nat = 15, ntyp = 3
/
ATOMIC_SPECIES
Li 6.94 Li.upf
Er 167.26 Er.upf
Te 127.60 Te.upf
CELL_PARAMETERS angstrom
6.012 -6.103 0.000
6.012 6.103 0.000
-5.964 0.000 6.117
ATOMIC_POSITIONS angstrom
Li 0.000 0.000 0.000
Li 3.006 3.051 0.000
Li 3.006 -3.051 0.000
Er 0.024 3.051 3.058
Er 0.024 -3.051 3.058
Er 6.012 0.000 0.000
Er 3.030 0.000 3.058
Te -0.063 0.000 3.044
Te 6.012 3.067 0.000
Te 3.030 3.057 3.058
Te 2.990 0.000 0.034
Te 3.070 0.000 6.083
Te 3.030 -3.057 3.058
Te 6.012 -3.067 0.000
Te 6.123 0.000 3.072
! Symmetry ... C2/m (12)
! ΔE_f (raw) ... -1181 meV per atom
! DOS(E_F) ... 7.27 states/eV per cell
! Volume ... 29.92 Å³ per atom

---

# 9
! LiEr5Te8 | the Alexandria database | PBE | optimized geometry; values from VASP
&SYSTEM
  ibrav = 0, nat = 14, ntyp = 3
/
ATOMIC_SPECIES
Li 6.94 Li.upf
Er 167.26 Er.upf
Te 127.60 Te.upf
CELL_PARAMETERS angstrom
0.000 6.305 6.305
6.305 0.000 6.305
6.305 6.305 0.000
ATOMIC_POSITIONS angstrom
Li 0.000 0.000 0.000
Er 7.960 4.650 4.650
Er 3.152 3.152 3.152
Er 4.650 7.960 4.650
Er 4.650 4.650 7.960
Er 7.960 7.960 7.960
Te 4.842 4.842 4.842
Te 7.767 7.767 4.842
Te 7.767 4.842 7.767
Te 10.986 7.929 7.929
Te 4.842 7.767 7.767
Te 7.929 10.986 7.929
Te 7.929 7.929 10.986
Te 10.986 10.986 10.986
! Symmetry ... F-43m (216)
! ΔE_f (raw) ... -1295 meV per atom
! Volume ... 35.81 Å³ per atom

---

# 10
! Li3Er5Te8 | the Alexandria database | PBE | optimized geometry; values from VASP
&SYSTEM
  ibrav = 0, nat = 16, ntyp = 3
/
ATOMIC_SPECIES
Li 6.94 Li.upf
Er 167.26 Er.upf
Te 127.60 Te.upf
CELL_PARAMETERS angstrom
4.290 2.477 7.054
-4.290 2.477 7.054
0.000 -4.954 7.054
ATOMIC_POSITIONS angstrom
Li -2.145 -1.239 7.054
Li -2.145 1.239 14.108
Li 0.000 2.477 7.054
Er 0.000 0.000 0.000
Er -4.290 0.000 10.581
Er -2.145 1.239 3.527
Er 2.145 1.239 3.527
Er 0.000 0.000 10.581
Te 0.000 -2.443 8.770
Te -2.116 1.222 8.770
Te 0.000 0.000 5.328
Te -2.116 -1.222 12.392
Te 2.116 1.222 8.770
Te 0.000 0.000 15.833
Te 2.116 -1.222 12.392
Te 0.000 2.443 12.392
! Symmetry ... R-3m (166)
! ΔE_f (raw) ... -1282 meV per atom
! DOS(E_F) ... 3.82 states/eV per cell
! Volume ... 28.11 Å³ per atom

---

# 11
! Li4ErTh3Te8 | the Alexandria database | PBE | optimized geometry; values from VASP
&SYSTEM
  ibrav = 0, nat = 16, ntyp = 4
/
ATOMIC_SPECIES
Li 6.94 Li.upf
Er 167.26 Er.upf
Th 232.04 Th.upf
Te 127.60 Te.upf
CELL_PARAMETERS angstrom
4.301 2.483 7.273
-4.301 2.483 7.273
0.000 -4.966 7.273
ATOMIC_POSITIONS angstrom
Li 0.000 0.000 0.000
Li -2.150 -1.242 7.273
Li -2.150 1.242 14.547
Li 0.000 2.483 7.273
Er 0.000 0.000 10.910
Th -4.301 0.000 10.910
Th -2.150 1.242 3.637
Th 2.150 1.242 3.637
Te 0.000 -2.422 8.987
Te -2.097 1.211 8.987
Te 0.000 0.000 5.622
Te -2.097 -1.211 12.833
Te 2.097 1.211 8.987
Te 0.000 0.000 16.198
Te 2.097 -1.211 12.833
Te 0.000 2.422 12.833
! Symmetry ... R-3m (166)
! ΔE_f (raw) ... -1125 meV per atom
! DOS(E_F) ... 7.61 states/eV per cell
! Volume ... 29.13 Å³ per atom

---

# 12
! LiErTh2Te5 | the Alexandria database | PBE | optimized geometry; values from VASP
&SYSTEM
  ibrav = 0, nat = 18, ntyp = 4
/
ATOMIC_SPECIES
Li 6.94 Li.upf
Er 167.26 Er.upf
Th 232.04 Th.upf
Te 127.60 Te.upf
CELL_PARAMETERS angstrom
2.140 -9.341 0.000
2.140 9.341 0.000
0.000 0.000 13.301
ATOMIC_POSITIONS angstrom
Li 2.140 8.161 6.651
Li 2.140 -8.161 0.000
Er 2.140 3.742 0.609
Er 2.140 -3.742 7.260
Th 2.140 2.433 4.502
Th 2.140 1.981 9.558
Th 2.140 -1.981 2.908
Th 2.140 -2.433 11.153
Te 2.140 9.314 10.981
Te 2.140 6.791 0.477
Te 2.140 5.787 5.079
Te 2.140 5.259 9.375
Te 2.140 0.922 1.493
Te 2.140 -0.922 8.144
Te 2.140 -5.259 2.724
Te 2.140 -5.787 11.729
Te 2.140 -6.791 7.127
Te 2.140 -9.314 4.331
! Symmetry ... Cmc2_1 (36)
! ΔE_f (raw) ... -1124 meV per atom
! DOS(E_F) ... 11.58 states/eV per cell
! Volume ... 29.55 Å³ per atom

---

# 13
! Li3Er2ThTe6 | the Alexandria database | PBE | optimized geometry; values from VASP
&SYSTEM
  ibrav = 0, nat = 12, ntyp = 4
/
ATOMIC_SPECIES
Li 6.94 Li.upf
Er 167.26 Er.upf
Th 232.04 Th.upf
Te 127.60 Te.upf
CELL_PARAMETERS angstrom
3.737 -6.472 0.000
3.737 6.472 0.000
-2.493 0.000 7.110
ATOMIC_POSITIONS angstrom
Li 0.000 0.000 0.000
Li 3.737 2.134 0.000
Li 3.737 -2.134 0.000
Er 2.490 4.313 3.555
Er 2.490 -4.313 3.555
Th 2.490 0.000 3.555
Te 1.218 2.203 1.710
Te -0.054 0.000 5.403
Te 1.218 -2.203 1.710
Te 3.762 2.203 5.400
Te 5.035 0.000 1.707
Te 3.762 -2.203 5.400
! Symmetry ... C2/m (12)
! ΔE_f (raw) ... -1206 meV per atom
! DOS(E_F) ... 4.02 states/eV per cell
! Volume ... 28.66 Å³ per atom

---

# 14
! Li4Er3ThTe8 | the Alexandria database | PBE | optimized geometry; values from VASP
&SYSTEM
  ibrav = 0, nat = 16, ntyp = 4
/
ATOMIC_SPECIES
Li 6.94 Li.upf
Er 167.26 Er.upf
Th 232.04 Th.upf
Te 127.60 Te.upf
CELL_PARAMETERS angstrom
4.315 2.491 7.094
-4.315 2.491 7.094
0.000 -4.982 7.094
ATOMIC_POSITIONS angstrom
Li 0.000 0.000 0.000
Li -2.157 -1.246 7.094
Li -2.157 1.246 14.187
Li 0.000 2.491 7.094
Er -4.315 0.000 10.640
Er -2.157 1.246 3.547
Er 2.157 1.246 3.547
Th 0.000 0.000 10.640
Te 0.000 -2.540 8.798
Te -2.199 1.270 8.798
Te -2.199 -1.270 12.482
Te 0.000 0.000 5.345
Te 0.000 0.000 15.936
Te 2.199 1.270 8.798
Te 2.199 -1.270 12.482
Te 0.000 2.540 12.482
! Symmetry ... R-3m (166)
! ΔE_f (raw) ... -1225 meV per atom
! DOS(E_F) ... 4.02 states/eV per cell
! Volume ... 28.59 Å³ per atom

---

# 15
! LiErThTe3 | the Alexandria database | PBE | optimized geometry; values from VASP
&SYSTEM
  ibrav = 0, nat = 12, ntyp = 4
/
ATOMIC_SPECIES
Li 6.94 Li.upf
Er 167.26 Er.upf
Th 232.04 Th.upf
Te 127.60 Te.upf
CELL_PARAMETERS angstrom
9.130 0.000 0.000
0.000 4.165 0.000
-2.265 0.000 9.112
ATOMIC_POSITIONS angstrom
Li 0.577 1.041 0.783
Li 6.288 3.123 8.329
Er 2.228 3.123 3.263
Er 4.637 1.041 5.849
Th 0.175 1.041 6.596
Th 6.690 3.123 2.515
Te -0.038 1.041 3.409
Te -0.154 3.123 9.107
Te 2.538 3.123 6.334
Te 4.328 1.041 2.777
Te 7.020 1.041 0.005
Te 6.904 3.123 5.702
! Symmetry ... P2_1/m (11)
! ΔE_f (raw) ... -1106 meV per atom
! DOS(E_F) ... 5.55 states/eV per cell
! Volume ... 28.87 Å³ per atom

---

# 16
! Li2ErThTe4 | the Alexandria database | PBE | optimized geometry; values from VASP
&SYSTEM
  ibrav = 0, nat = 8, ntyp = 4
/
ATOMIC_SPECIES
Li 6.94 Li.upf
Er 167.26 Er.upf
Th 232.04 Th.upf
Te 127.60 Te.upf
CELL_PARAMETERS angstrom
7.499 0.000 0.000
0.000 4.298 0.000
-2.455 0.000 7.163
ATOMIC_POSITIONS angstrom
Li 0.000 0.000 0.000
Li 3.749 2.149 0.000
Er -1.227 2.149 3.581
Th 2.522 0.000 3.581
Te 1.201 2.149 1.673
Te -0.019 0.000 5.434
Te 5.063 0.000 1.729
Te 3.843 2.149 5.489
! Symmetry ... P2/m (10)
! ΔE_f (raw) ... -1172 meV per atom
! DOS(E_F) ... 3.34 states/eV per cell
! Volume ... 28.86 Å³ per atom

---

# 17
! Li3ErTh2Te6 | the Alexandria database | PBE | optimized geometry; values from VASP
&SYSTEM
  ibrav = 0, nat = 12, ntyp = 4
/
ATOMIC_SPECIES
Li 6.94 Li.upf
Er 167.26 Er.upf
Th 232.04 Th.upf
Te 127.60 Te.upf
CELL_PARAMETERS angstrom
3.731 -6.462 0.000
3.731 6.462 0.000
-2.488 0.000 7.222
ATOMIC_POSITIONS angstrom
Li 0.000 0.000 0.000
Li 3.731 2.188 0.000
Li 3.731 -2.188 0.000
Er 2.487 0.000 3.611
Th 2.487 4.312 3.611
Th 2.487 -4.312 3.611
Te 1.276 2.101 1.695
Te 0.064 0.000 5.524
Te 1.276 -2.101 1.695
Te 3.698 2.101 5.527
Te 4.909 0.000 1.698
Te 3.698 -2.101 5.527
! Symmetry ... C2/m (12)
! ΔE_f (raw) ... -1139 meV per atom
! DOS(E_F) ... 5.14 states/eV per cell
! Volume ... 29.02 Å³ per atom

---

# 18
! Li3Er3TiTe8 | the Alexandria database | PBE | optimized geometry; values from VASP
&SYSTEM
  ibrav = 0, nat = 15, ntyp = 4
/
ATOMIC_SPECIES
Li 6.94 Li.upf
Er 167.26 Er.upf
Ti 47.87 Ti.upf
Te 127.60 Te.upf
CELL_PARAMETERS angstrom
4.236 2.446 7.081
-4.236 2.446 7.081
0.000 -4.891 7.081
ATOMIC_POSITIONS angstrom
Li -2.118 -1.223 7.081
Li -2.118 1.223 14.161
Li 0.000 2.446 7.081
Er -4.236 0.000 10.621
Er -2.118 1.223 3.540
Er 2.118 1.223 3.540
Ti 0.000 0.000 10.621
Te 0.000 0.000 5.361
Te 0.000 -2.292 8.917
Te -1.985 1.146 8.917
Te -1.985 -1.146 12.325
Te 1.985 1.146 8.917
Te 1.985 -1.146 12.325
Te 0.000 2.292 12.325
Te 0.000 0.000 15.881
! Symmetry ... R-3m (166)
! ΔE_f (raw) ... -1125 meV per atom
! DOS(E_F) ... 1.14 states/eV per cell
! Volume ... 29.34 Å³ per atom

---

# 19
! Li3Er2TmTe6 | the Alexandria database | PBE | optimized geometry; values from VASP
&SYSTEM
  ibrav = 0, nat = 12, ntyp = 4
/
ATOMIC_SPECIES
Li 6.94 Li.upf
Er 167.26 Er.upf
Tm 168.93 Tm.upf
Te 127.60 Te.upf
CELL_PARAMETERS angstrom
3.732 -6.465 0.000
3.732 6.465 0.000
-2.489 0.000 7.049
ATOMIC_POSITIONS angstrom
Li 0.000 0.000 0.000
Li 3.732 2.158 0.000
Li 3.732 -2.158 0.000
Er 2.488 4.311 3.524
Er 2.488 -4.311 3.524
Tm 2.488 0.000 3.524
Te 1.248 2.149 1.740
Te 0.007 0.000 5.309
Te 1.248 -2.149 1.740
Te 3.728 2.149 5.309
Te 4.969 0.000 1.740
Te 3.728 -2.149 5.309
! Symmetry ... C2/m (12)
! ΔE_f (raw) ... -1278 meV per atom
! Volume ... 28.35 Å³ per atom

---

# 20
! LiEr2TmTe4 | the Alexandria database | PBE | optimized geometry; values from VASP
&SYSTEM
  ibrav = 0, nat = 8, ntyp = 4
/
ATOMIC_SPECIES
Li 6.94 Li.upf
Er 167.26 Er.upf
Tm 168.93 Tm.upf
Te 127.60 Te.upf
CELL_PARAMETERS angstrom
7.448 0.000 0.000
0.000 4.274 0.000
-2.444 0.000 7.047
ATOMIC_POSITIONS angstrom
Li 0.000 0.000 0.000
Er -1.222 2.137 3.523
Er 2.502 0.000 3.523
Tm 3.724 2.137 0.000
Te 1.220 2.137 1.707
Te -0.015 0.000 5.327
Te 5.019 0.000 1.719
Te 3.785 2.137 5.340
! Symmetry ... P2/m (10)
! ΔE_f (raw) ... -1259 meV per atom
! DOS(E_F) ... 3.08 states/eV per cell
! Volume ... 28.04 Å³ per atom